Computed, not measured: a relaxed ErTm2In crystal at the PBE-GGA level of DFT.

extended XYZ file:
```
4
Lattice="-1.901 1.209 -2.596 -3.429 -0.181 0.152 -2.108 10.909 4.350" Properties=species:S:1:pos:R:3 pbc="T T T"
In -3.719 5.969 0.953
Tm -2.013 7.893 2.876
Er 0.000 0.000 0.000
Tm -5.425 4.044 -0.970
```

Computed properties:
The energy above the lowest structure with this stoichiometry comes out at 0.351 eV/atom. As for the symmetry: R-3m, No. 166. For the total energy, the calculation gives -3.969 eV/atom. The formation energy is 91.7 meV per atom.

Computed, not measured: a relaxed ErTm2In2 crystal at the PBE-GGA level of DFT.

extended XYZ file:
```
10
Lattice="5.269 0.000 0.000 0.000 6.445 0.000 -2.635 0.000 7.961" Properties=species:S:1:pos:R:3 pbc="T T T"
In 0.000 3.644 6.360
Tm 0.000 5.468 3.120
In 0.000 2.311 3.386
In 2.635 0.422 1.601
Tm 2.635 5.045 7.575
Er 0.000 0.510 6.383
Tm 0.000 1.822 0.385
In 2.635 5.533 4.575
Tm 2.635 2.246 4.841
Er 2.635 3.733 1.578
```

Computed properties:
The energy above the lowest structure with this stoichiometry comes out at 0.060 eV/atom. As for the symmetry: Cmc2_1, No. 36. For the total energy, the calculation gives -4.100 eV/atom. The formation energy is -303.6 meV per atom.

Computed, not measured: a relaxed ErTm5In2 crystal at the PBE-GGA level of DFT.

extended XYZ file:
```
8
Lattice="3.494 0.000 0.000 1.747 8.152 -0.450 1.747 2.024 7.910" Properties=species:S:1:pos:R:3 pbc="T T T"
Tm 3.494 2.332 4.657
Tm 3.494 7.845 2.803
Tm 3.494 5.143 0.823
Tm 1.747 5.088 3.730
In 5.242 7.718 5.658
In 1.747 2.458 1.802
Er 0.000 0.000 0.000
Tm 3.494 5.034 6.638
```

Computed properties:
As for the symmetry: Immm, No. 71. For the total energy, the calculation gives -4.213 eV/atom. The formation energy is -163.0 meV per atom.

Computed, not measured: a relaxed Er5TmIn4 crystal at the PBE-GGA level of DFT.

extended XYZ file:
```
10
Lattice="-1.955 -1.871 2.285 2.528 -2.477 0.134 9.261 10.335 16.386" Properties=species:S:1:pos:R:3 pbc="T T T"
Er 6.716 5.000 12.585
Tm 0.000 0.000 0.000
Er 1.328 -1.012 3.052
In 1.938 2.162 3.428
Er 4.917 2.993 9.402
Er 8.507 6.998 15.753
In 5.529 6.170 9.782
Er 3.119 0.986 6.220
In 3.732 4.165 6.603
In 7.324 8.173 12.958
```

Computed properties:
As for the symmetry: P4/mmm, No. 123. For the total energy, the calculation gives -4.185 eV/atom. The formation energy is -361.2 meV per atom.

Computed, not measured: a relaxed ErTm4In2 crystal at the PBE-GGA level of DFT.

extended XYZ file:
```
7
Lattice="5.103 0.000 0.000 2.551 4.419 0.000 2.551 1.473 9.953" Properties=species:S:1:pos:R:3 pbc="T T T"
Er 5.103 2.946 4.977
In 5.103 2.946 1.959
Tm 2.551 1.473 1.189
In 5.103 2.946 7.994
Tm 7.654 4.419 3.408
Tm 7.654 4.419 8.764
Tm 2.551 1.473 6.545
```

Computed properties:
The energy above the lowest structure with this stoichiometry comes out at 0.184 eV/atom. As for the symmetry: R-3m, No. 166. For the total energy, the calculation gives -3.912 eV/atom. The formation energy is 77.6 meV per atom.

Computed, not measured: a relaxed Er2Tm8In crystal at the PBE-GGA level of DFT.

extended XYZ file:
```
11
Lattice="-3.490 2.495 -2.335 -4.009 -6.548 -1.006 -3.480 -1.925 8.253" Properties=species:S:1:pos:R:3 pbc="T T T"
Tm -6.978 -6.391 3.599
Tm -4.001 0.413 1.313
Er -7.184 -3.287 2.115
Tm -4.916 -2.502 -0.436
Tm -1.572 -1.867 0.354
Tm -9.407 -4.111 4.558
Tm -6.063 -3.475 5.348
Tm -6.269 -0.405 3.829
In -1.745 1.248 -1.168
Er -3.795 -2.691 2.797
Tm -4.709 -5.573 1.083
```

Computed properties:
The energy above the lowest structure with this stoichiometry comes out at 0.000 eV/atom. As for the symmetry: C2/m, No. 12. For the total energy, the calculation gives -4.389 eV/atom. The formation energy is -58.8 meV per atom.

Computed, not measured: a relaxed Er3Tm8In2 crystal at the PBE-GGA level of DFT.

extended XYZ file:
```
13
Lattice="5.372 0.000 0.720 0.000 8.113 0.002 -1.205 -4.055 8.996" Properties=species:S:1:pos:R:3 pbc="T T T"
Tm 4.947 4.053 3.889
In 2.039 4.060 5.184
Tm 2.405 2.384 2.456
In 2.128 -0.001 4.534
Tm 1.762 1.675 7.262
Er 4.167 -1.645 9.716
Tm -0.312 -0.001 2.330
Er 0.000 5.703 0.002
Tm 2.405 5.730 2.456
Tm 4.479 4.059 7.388
Er 2.686 0.000 0.360
Tm 1.762 -1.672 7.262
Tm -0.780 0.006 5.829
```

Computed properties:
As for the symmetry: P2/m, No. 10. For the total energy, the calculation gives -4.195 eV/atom. The formation energy is 30.5 meV per atom.

Computed, not measured: a relaxed Er15Tm4In crystal at the PBE-GGA level of DFT.

extended XYZ file:
```
20
Lattice="4.907 0.000 0.000 0.000 4.907 0.000 0.000 0.000 24.799" Properties=species:S:1:pos:R:3 pbc="T T T"
Er 2.454 2.454 14.912
Er 0.000 2.454 17.400
Er 0.000 2.454 7.399
Er 0.000 2.454 12.400
Er 2.454 2.454 0.000
Er 2.454 0.000 2.415
Er 2.454 2.454 9.887
Tm 0.000 0.000 14.902
Er 0.000 2.454 22.384
Er 2.454 2.454 4.857
Er 2.454 0.000 7.399
Er 2.454 0.000 22.384
Tm 0.000 0.000 9.897
Tm 0.000 0.000 4.917
In 0.000 0.000 0.000
Er 2.454 2.454 19.942
Er 2.454 0.000 12.400
Tm 0.000 0.000 19.882
Er 0.000 2.454 2.415
Er 2.454 0.000 17.400
```

Computed properties:
As for the symmetry: P4/mmm, No. 123. For the total energy, the calculation gives -4.484 eV/atom. The formation energy is -30.8 meV per atom.